[1]
Computed, not measured: a relaxed structure of CeTaNi2Ge2 at the PBE level of DFT.

Calculated values
- calculated formation energy (kcal/mol of atoms) = -13.57
- total DFT energy (no corrections) (eV/atom) = -7.02

a = 4.1570 Å, b = 4.1570 Å, c = 6.8298 Å
α = 90.00°, β = 90.00°, γ = 120.00°
Space group P-3m1 (No. 164)
One atom of each set of equivalent atoms:
1 Ce 0.0000 0.0000 0.0000 x1
2 Ta 0.0000 0.0000 0.5000 x1
3 Ni 0.3333 0.6667 0.6615 x2
4 Ge 0.3333 0.6667 0.2741 x2

=====

[2]
Computed, not measured: a relaxed structure of ZrTa2Pt at the PBE level of DFT.

Calculated values
- calculated formation energy (kcal/mol of atoms) = -5.50
- total DFT energy (no corrections) (eV/atom) = -9.81

a = 2.899 Å, b = 4.657 Å, c = 5.515 Å
α = 90.00°, β = 101.53°, γ = 90.00°
Space group Pm (No. 6)
One atom of each set of equivalent atoms:
1 Zr 0.000 0.000 0.000 x1
2 Ta 0.247 0.500 0.738 x1
3 Ta 0.480 0.000 0.511 x1
4 Pt 0.722 0.500 0.249 x1

=====

[3]
Computed, not measured: a relaxed structure of Tb5PmAl2 at the PBE level of DFT.

Calculated values
- calculated formation energy (kcal/mol of atoms) = -2.07
- total DFT energy (no corrections) (eV/atom) = -4.51

a = 3.599 Å, b = 10.291 Å, c = 12.446 Å
α = 90.00°, β = 90.00°, γ = 90.00°
Space group Immm (No. 71)
One atom of each set of equivalent atoms:
1 Tb 0.000 0.000 0.000 x2
2 Tb 0.000 0.277 0.362 x8
3 Pm 0.000 0.500 0.000 x2
4 Al 0.000 0.000 0.262 x4

=====

[4]
Computed, not measured: a relaxed structure of TcP3Pb at the PBE level of DFT.

Calculated values
- calculated formation energy (kcal/mol of atoms) = 9.61
- total DFT energy (no corrections) (eV/atom) = -5.64

a = 4.701 Å, b = 4.701 Å, c = 4.701 Å
α = 90.00°, β = 90.00°, γ = 90.00°
Space group Pm-3m (No. 221)
One atom of each set of equivalent atoms:
1 Tc 0.000 0.000 0.000 x1
2 P 0.000 0.000 0.500 x3
3 Pb 0.500 0.500 0.500 x1

=====

[5]
Computed, not measured: a relaxed structure of LaUAl2O8 at the PBE level of DFT.

Calculated values
- total DFT energy (no corrections) (eV/atom) = -8.11
- formation energy (no corrections) (eV/atom) = -2.830

a = 4.680 Å, b = 4.690 Å, c = 7.271 Å
α = 87.20°, β = 87.32°, γ = 85.98°
Space group P-1 (No. 2)
One atom of each set of equivalent atoms:
1 La 0.000 0.000 0.000 x1
2 U 0.000 0.000 0.500 x1
3 Al 0.469 0.468 0.698 x2
4 O 0.207 0.790 0.715 x2
5 O 0.208 0.791 0.285 x2
6 O 0.318 0.316 0.493 x2
7 O 0.348 0.344 0.932 x2

=====

[6]
Computed, not measured: a relaxed structure of NaPmPPd at the PBE level of DFT.

Calculated values
- calculated formation energy (kcal/mol of atoms) = -13.91
- total DFT energy (no corrections) (eV/atom) = -4.77

a = 6.928 Å, b = 6.928 Å, c = 6.928 Å
α = 90.00°, β = 90.00°, γ = 90.00°
Space group F-43m (No. 216)
One atom of each set of equivalent atoms:
1 Na 0.000 0.000 0.000 x4
2 Pm 0.000 0.000 0.500 x4
3 P 0.250 0.250 0.250 x4
4 Pd 0.250 0.250 0.750 x4

=====

[7]
Computed, not measured: a relaxed structure of CsTlCl4 at the PBE level of DFT.

Calculated values
- total DFT energy (no corrections) (eV/atom) = -2.92
- formation energy (no corrections) (eV/atom) = -1.151

a = 5.488 Å, b = 19.431 Å, c = 8.201 Å
α = 90.00°, β = 90.00°, γ = 90.00°
Space group Cmc2_1 (No. 36)
One atom of each set of equivalent atoms:
1 Cs 0.000 0.136 0.000 x4
2 Tl 0.000 0.399 0.011 x4
3 Cl 0.000 0.086 0.556 x4
4 Cl 0.000 0.315 0.238 x4
5 Cl 0.000 0.323 0.765 x4
6 Cl 0.000 0.481 0.421 x4

=====

[8]
Computed, not measured: a relaxed structure of InHgSb2 at the PBE level of DFT.

Calculated values
- total DFT energy (no corrections) (eV/atom) = -2.69
- formation energy (no corrections) (eV/atom) = 0.135

a = 3.987 Å, b = 5.096 Å, c = 5.331 Å
α = 90.00°, β = 90.00°, γ = 90.00°
Space group Pmmm (No. 47)
One atom of each set of equivalent atoms:
1 In 0.000 0.000 0.000 x1
2 Hg 0.500 0.500 0.000 x1
3 Sb 0.000 0.500 0.500 x1
4 Sb 0.500 0.000 0.500 x1

=====

[9]
Computed, not measured: a relaxed structure of BaNaCeI6 at the PBE level of DFT.

Calculated values
- total DFT energy (no corrections) (eV/atom) = -3.50
- formation energy (no corrections) (eV/atom) = -1.450

a = 8.1648 Å, b = 8.1648 Å, c = 15.0803 Å
α = 90.00°, β = 90.00°, γ = 120.00°
Space group P-31c (No. 163)
One atom of each set of equivalent atoms:
1 Ba 0.0000 0.0000 0.0000 x2
2 Na 0.3333 0.6667 0.2500 x2
3 Ce 0.3333 0.6667 0.7500 x2
4 I 0.0081 0.3584 0.6301 x12

=====

[10]
Computed, not measured: a relaxed structure of ErBeTl at the PBE level of DFT.

Calculated values
- calculated formation energy (kcal/mol of atoms) = 6.64
- total DFT energy (no corrections) (eV/atom) = -3.26

a = 11.169 Å, b = 3.455 Å, c = 7.640 Å
α = 90.00°, β = 111.77°, γ = 90.00°
Space group C2/m (No. 12)
One atom of each set of equivalent atoms:
1 Er 0.102 0.000 0.370 x4
2 Be 0.095 0.000 0.990 x4
3 Tl 0.169 0.500 0.772 x4

=====

[11]
Computed, not measured: a relaxed structure of SnIrRh2 at the PBE level of DFT.

Calculated values
- calculated formation energy (kcal/mol of atoms) = -3.31
- total DFT energy (no corrections) (eV/atom) = -7.04

a = 3.983 Å, b = 3.983 Å, c = 3.945 Å
α = 90.00°, β = 90.00°, γ = 90.00°
Space group P4/mmm (No. 123)
One atom of each set of equivalent atoms:
1 Sn 0.000 0.000 0.000 x1
2 Ir 0.500 0.500 0.000 x1
3 Rh 0.000 0.500 0.500 x2

=====

[12]
Computed, not measured: a relaxed structure of CaGe2PRu2 at the PBE level of DFT.

Calculated values
- calculated formation energy (kcal/mol of atoms) = -6.22
- total DFT energy (no corrections) (eV/atom) = -6.14

a = 4.487 Å, b = 4.487 Å, c = 5.563 Å
α = 90.00°, β = 90.00°, γ = 90.00°
Space group P4/mmm (No. 123)
One atom of each set of equivalent atoms:
1 Ca 0.000 0.000 0.000 x1
2 Ge 0.500 0.500 0.229 x2
3 P 0.000 0.000 0.500 x1
4 Ru 0.000 0.500 0.500 x2

=====

[13]
Computed, not measured: a relaxed structure of RbNa2ReCl8 at the PBE level of DFT.

Calculated values
- total DFT energy (no corrections) (eV/atom) = -3.72
- formation energy (no corrections) (eV/atom) = -1.153

a = 6.105 Å, b = 6.255 Å, c = 9.186 Å
α = 90.06°, β = 90.20°, γ = 94.54°
Space group P-1 (No. 2)
One atom of each set of equivalent atoms:
1 Rb 0.000 0.000 0.000 x1
2 Na 0.499 0.500 0.746 x2
3 Re 0.000 0.000 0.500 x1
4 Cl 0.220 0.861 0.318 x2
5 Cl 0.222 0.864 0.682 x2
6 Cl 0.231 0.322 0.499 x2
7 Cl 0.250 0.492 0.000 x2

=====

[14]
Computed, not measured: a relaxed structure of Na2Sn6Au at the PBE level of DFT.

Calculated values
- calculated formation energy (kcal/mol of atoms) = -2.18
- total DFT energy (no corrections) (eV/atom) = -3.42

a = 4.399 Å, b = 4.592 Å, c = 24.708 Å
α = 90.00°, β = 90.00°, γ = 90.00°
Space group Amm2 (No. 38)
One atom of each set of equivalent atoms:
1 Na 0.000 0.000 0.000 x2
2 Na 0.000 0.000 0.341 x2
3 Sn 0.000 0.000 0.623 x2
4 Sn 0.000 0.000 0.745 x2
5 Sn 0.500 0.000 0.116 x2
6 Sn 0.500 0.000 0.236 x2
7 Sn 0.500 0.000 0.440 x2
8 Sn 0.500 0.000 0.867 x2
9 Au 0.500 0.000 0.548 x2

=====

[15]
Computed, not measured: a relaxed structure of La8Nd6Ho at the PBE level of DFT.

Calculated values
- calculated formation energy (kcal/mol of atoms) = 2.95
- total DFT energy (no corrections) (eV/atom) = -4.71

a = 10.0773 Å, b = 10.0773 Å, c = 18.4092 Å
α = 90.00°, β = 90.00°, γ = 120.00°
Space group R-3 (No. 148, hexagonal axes)
One atom of each set of equivalent atoms:
1 La 0.0000 0.0000 0.0857 x6
2 La 0.0550 0.8174 0.6695 x18
3 Nd 0.0423 0.7582 0.1750 x18
4 Ho 0.0000 0.0000 0.5000 x3

=====

[16]
Computed, not measured: a relaxed structure of Cs4CuO2 at the PBE level of DFT.

Calculated values
- total DFT energy (no corrections) (eV/atom) = -3.20
- formation energy (no corrections) (eV/atom) = -0.706

a = 5.8159 Å, b = 5.8159 Å, c = 23.5301 Å
α = 90.00°, β = 90.00°, γ = 120.00°
Space group R-3m (No. 166, hexagonal axes)
One atom of each set of equivalent atoms:
1 Cs 0.0000 0.0000 0.1145 x6
2 Cs 0.0000 0.0000 0.3029 x6
3 Cu 0.0000 0.0000 0.5000 x3
4 O 0.0000 0.0000 0.4227 x6

=====

[17]
Computed, not measured: a relaxed structure of HoMg15Tl4 at the PBE level of DFT.

Calculated values
- calculated formation energy (kcal/mol of atoms) = -0.66
- total DFT energy (no corrections) (eV/atom) = -1.93

a = 4.742 Å, b = 4.742 Å, c = 21.061 Å
α = 90.00°, β = 90.00°, γ = 90.00°
Space group P4/mmm (No. 123)
One atom of each set of equivalent atoms:
1 Ho 0.000 0.000 0.000 x1
2 Mg 0.000 0.500 0.105 x4
3 Mg 0.000 0.500 0.302 x4
4 Mg 0.000 0.500 0.500 x2
5 Mg 0.500 0.500 0.000 x1
6 Mg 0.500 0.500 0.206 x2
7 Mg 0.500 0.500 0.400 x2
8 Tl 0.000 0.000 0.202 x2
9 Tl 0.000 0.000 0.402 x2

=====

[18]
Computed, not measured: a relaxed structure of Cr2TcNi at the PBE level of DFT.

Calculated values
- calculated formation energy (kcal/mol of atoms) = 4.14
- total DFT energy (no corrections) (eV/atom) = -8.67

a = 5.852 Å, b = 5.852 Å, c = 5.852 Å
α = 90.00°, β = 90.00°, γ = 90.00°
Space group F-43m (No. 216)
One atom of each set of equivalent atoms:
1 Cr 0.000 0.000 0.000 x4
2 Cr 0.250 0.250 0.250 x4
3 Tc 0.000 0.000 0.500 x4
4 Ni 0.250 0.250 0.750 x4

=====

[19]
Computed, not measured: a relaxed structure of PrHoEr4 at the PBE level of DFT.

Calculated values
- calculated formation energy (kcal/mol of atoms) = 0.49
- total DFT energy (no corrections) (eV/atom) = -4.58

a = 3.549 Å, b = 6.126 Å, c = 9.359 Å
α = 77.39°, β = 79.16°, γ = 73.27°
Space group P-1 (No. 2)
One atom of each set of equivalent atoms:
1 Pr 0.000 0.000 0.000 x1
2 Ho 0.000 0.500 0.500 x1
3 Er 0.332 0.000 0.336 x2
4 Er 0.333 0.502 0.831 x2

=====

[20]
Computed, not measured: a relaxed structure of NbVW at the PBE level of DFT.

Calculated values
- calculated formation energy (kcal/mol of atoms) = -0.18
- total DFT energy (no corrections) (eV/atom) = -10.72

a = 4.4730 Å, b = 4.4730 Å, c = 2.7703 Å
α = 90.00°, β = 90.00°, γ = 120.00°
Space group P3m1 (No. 156)
One atom of each set of equivalent atoms:
1 Nb 0.0000 0.0000 0.0000 x1
2 V 0.3333 0.6667 0.6614 x1
3 W 0.6667 0.3333 0.3349 x1